Below is a geometry-optimized V4SnSb structure, with properties calculated at the PBE-GGA level.

Symmetry: No. 216
DOS at the Fermi energy in states/eV per cell: 4.201
Formation energy (no corrections) in kJ/mol of formula units: 79
Density in Mg/m³: 7.52

The structure in extended XYZ format:
```
6
Lattice="0.0000 3.6612 3.6612 3.6612 0.0000 3.6612 3.6612 3.6612 0.0000" Properties=species:S:1:pos:R:3 pbc="T T T"
V 2.7518 2.7518 2.7518
V 4.5706 4.5706 2.7518
V 4.5706 2.7518 4.5706
V 2.7518 4.5706 4.5706
Sn 5.4918 5.4918 5.4918
Sb 0.0000 0.0000 0.0000
```

=====

Below is a geometry-optimized VSn2Sb2 structure, with properties calculated at the PBE-GGA level.

Symmetry: No. 127
DOS at the Fermi energy in states/eV per cell: 6.162
Formation energy (no corrections) in kJ/mol of formula units: 189
Density in Mg/m³: 6.85

The structure in extended XYZ format:
```
10
Lattice="7.3529 0.0000 0.0000 0.0000 7.3529 0.0000 0.0000 0.0000 4.7704" Properties=species:S:1:pos:R:3 pbc="T T T"
V 0.0000 0.0000 0.0000
V 3.6764 3.6764 0.0000
Sn 1.0739 2.6025 0.0000
Sn 2.6025 6.2790 0.0000
Sn 4.7504 1.0739 0.0000
Sn 6.2790 4.7504 0.0000
Sb 1.2215 4.8979 2.3852
Sb 2.4550 1.2215 2.3852
Sb 4.8979 6.1314 2.3852
Sb 6.1314 2.4550 2.3852
```

=====

Below is a geometry-optimized VSnSb3 structure, with properties calculated at the PBE-GGA level.

Symmetry: No. 221
DOS at the Fermi energy in states/eV per cell: 9.340
Formation energy (no corrections) in kJ/mol of formula units: 584
Density in Mg/m³: 5.11

The structure in extended XYZ format:
```
5
Lattice="5.5804 0.0000 0.0000 0.0000 5.5804 0.0000 0.0000 0.0000 5.5804" Properties=species:S:1:pos:R:3 pbc="T T T"
V 0.0000 0.0000 0.0000
Sn 2.7902 2.7902 2.7902
Sb 0.0000 2.7902 2.7902
Sb 2.7902 0.0000 2.7902
Sb 2.7902 2.7902 0.0000
```

=====

What is the formula in the second record?
VSn2Sb2

=====

Among the records above, which one has the lowest density?
VSnSb3

=====

The lowest formation energy (no corrections) belongs to which entry?
V4SnSb